Record 1
PBE-GGA CeMgNi, relaxed; uncorrected energy = -27.670 eV per cell; total magnetic moment = 0.92 μB per cell; SG = P2_1/m, No. 11
1.0
4.9428 0.0000 0.0000
0.0000 4.4692 0.0000
-1.6448 0.0000 5.5816
Ce Mg Ni
2 2 2
Direct
0.0522 0.2500 0.1653
0.9478 0.7500 0.8347
0.4199 0.2500 0.7299
0.5801 0.7500 0.2701
0.1314 0.7500 0.4376
0.8686 0.2500 0.5624

---

Record 2
PBE-GGA TbPmDy5Th2, relaxed; uncorrected energy = -88.465 eV per cell; total magnetic moment = 0.00 μB per cell; SG = I4/mcm, No. 140
1.0
-4.4230 4.4230 7.6538
4.4230 -4.4230 7.6538
4.4230 4.4230 -7.6538
Tb Pm Dy Th
2 2 10 4
Direct
0.2500 0.7500 0.5000
0.7500 0.2500 0.5000
0.2500 0.2500 0.0000
0.7500 0.7500 0.0000
0.0000 0.0000 0.0000
0.0703 0.5703 0.9168
0.1536 0.0703 0.5000
0.3464 0.8464 0.9168
0.4297 0.3464 0.5000
0.5000 0.5000 0.0000
0.5703 0.6536 0.5000
0.6536 0.1536 0.0832
0.8464 0.9297 0.5000
0.9297 0.4297 0.0832
0.1188 0.3812 0.5000
0.3812 0.8812 0.2623
0.6188 0.1188 0.7377
0.8812 0.6188 0.5000

---

Record 3
PBE-GGA Sc4Sb3, relaxed; total magnetic moment = 0.01 μB per cell; SG = I-43d, No. 220; E_form (uncorrected) = -886 meV/atom
1.0
-4.3500 4.3500 4.3500
4.3500 -4.3500 4.3500
4.3500 4.3500 -4.3500
Sc Sb
8 6
Direct
0.0000 0.1508 0.5000
0.0000 0.6508 0.5000
0.1508 0.5000 0.0000
0.3492 0.3492 0.3492
0.5000 0.0000 0.1508
0.5000 0.0000 0.6508
0.6508 0.5000 0.0000
0.8492 0.8492 0.8492
0.1250 0.8750 0.2500
0.2500 0.1250 0.8750
0.3750 0.6250 0.7500
0.6250 0.7500 0.3750
0.7500 0.3750 0.6250
0.8750 0.2500 0.1250

---

- The highest total magnetic moment belongs to which entry?
  CeMgNi